Record 1
{"formula": "GdCl", "functional": "PBE", "state": "relaxed", "lattice": [[0.000, 3.130, 3.130], [3.130, 0.000, 3.130], [3.130, 3.130, 0.000]], "species": ["Gd", "Cl"], "frac_coords": [[0.000, 0.000, 0.000], [0.250, 0.250, 0.250]], "spacegroup": "F-43m"}

=====

Record 2
{"formula": "GdCl", "functional": "PBE", "state": "relaxed", "lattice": [[0.000, 2.805, 2.805], [2.805, 0.000, 2.805], [2.805, 2.805, 0.000]], "species": ["Gd", "Cl"], "frac_coords": [[0.000, 0.000, 0.000], [0.500, 0.500, 0.500]], "spacegroup": "Fm-3m"}

=====

Energy, respectively: -4.158; -4.338 eV per atom.